Crystalline NdDy2Tc at its relaxed geometry, computed with GGA-PBE.

Properties
mass density = 8.30 g cm⁻³
energy = -5.8294 eV per atom
ΔE to the lowest computed polymorph = 313.9 meV/atom
energy of formation from the pure elements = 1.020 eV per formula unit
space-group type = R-3m (166)

Structure (POSCAR):
```
NdDy2Tc
1.0
3.443 0.000 0.000
-1.722 2.982 0.000
0.000 0.000 33.144
Nd Dy Tc
3 6 3
direct
0.000 0.000 0.000
0.333 0.667 0.667
0.667 0.333 0.333
0.000 0.000 0.106
0.000 0.000 0.894
0.333 0.667 0.561
0.333 0.667 0.773
0.667 0.333 0.227
0.667 0.333 0.439
0.000 0.000 0.500
0.333 0.667 0.167
0.667 0.333 0.833
```